A relaxed structure of RbInTcSb2. Source: the Alexandria database, functional GGA-PBE.

For the formation energy without anion corrections, the calculation gives 1980 meV per atom. The total moment is 4.4 μB per cell. The density of states at the Fermi level is 4.72 states/eV/f.u.

a = 6.0260 Å, b = 6.0260 Å, c = 5.8507 Å
α = 90.00°, β = 90.00°, γ = 90.00°
Last column: nearest neighbours and their distance in Å.
Space group P4/mmm (No. 123)
Symmetry-distinct sites (fractional):
Rb1 0.0000 0.0000 0.0000 x1  2 In 2.93, 4 Sb 3.01
In1 0.0000 0.0000 0.5000 x1  2 Rb 2.93
Tc1 0.5000 0.5000 0.5000 x1  8 Sb 4.20, 4 In 4.26
Sb1 0.0000 0.5000 0.0000 x2  2 Rb 3.01


A relaxed structure of CsLaVS4. Source: the Alexandria database, functional GGA-PBE.

For the formation energy without anion corrections, the calculation gives -1455 meV per atom. The total moment is 2.0 μB per cell. The density of states at the Fermi level is 5.37 states/eV/f.u.

a = 6.8147 Å, b = 6.7314 Å, c = 9.5676 Å
α = 90.00°, β = 107.54°, γ = 90.00°
Last column: nearest neighbours and their distance in Å.
Space group P2_1/m (No. 11)
Symmetry-distinct sites (fractional):
Cs1 0.2261 0.2500 0.4368 x2  8 S 3.58-3.81
La1 0.2691 0.2500 0.9531 x2  6 S 2.93-2.99
V1 0.2802 0.7500 0.1674 x2  4 S 2.19-2.22
S1 0.0846 0.7500 0.3126 x2  1 V 2.20
S2 0.0920 0.7500 0.9367 x2  1 V 2.19
S3 0.4990 0.0019 0.2001 x4  1 V 2.22


A relaxed structure of CrIr2. Source: the Alexandria database, functional GGA-PBE.

The total moment is 0.0 μB per cell. The formation energy comes out at -13.1 kJ/mol of atoms. The density of states at the Fermi level is 3.16 states/eV/f.u.

a = 2.6841 Å, b = 3.7559 Å, c = 8.1269 Å
α = 90.00°, β = 90.00°, γ = 90.00°
Last column: nearest neighbours and their distance in Å.
Space group Immm (No. 71)
Symmetry-distinct sites (fractional):
Cr1 0.0000 0.0000 0.0000 x2  10 Ir 2.66-2.75, 2 Cr 2.68
Ir1 0.0000 0.0000 0.3378 x4  7 Ir 2.64-2.71, 5 Cr 2.66-2.75


A relaxed structure of CdSnS2N. Source: the Alexandria database, functional GGA-PBE.

For the formation energy without anion corrections, the calculation gives 607 meV per atom. The total moment is 1.3 μB per cell. The density of states at the Fermi level is 1.42 states/eV/f.u.

a = 5.1266 Å, b = 5.1266 Å, c = 4.0424 Å
α = 90.00°, β = 90.00°, γ = 90.00°
Last column: nearest neighbours and their distance in Å.
Space group P4/mmm (No. 123)
Symmetry-distinct sites (fractional):
Cd1 0.0000 0.0000 0.0000 x1  8 S 3.26, 4 N 3.63
Sn1 0.5000 0.5000 0.5000 x1  2 N 2.02
S1 0.0000 0.5000 0.5000 x2  2 Sn 2.56
N1 0.5000 0.5000 0.0000 x1  2 Sn 2.02


A relaxed structure of Al2TcCl. Source: the Alexandria database, functional GGA-PBE.

For the formation energy without anion corrections, the calculation gives 239 meV per atom. The total moment is 0.0 μB per cell. The density of states at the Fermi level is 2.83 states/eV/f.u.

a = 9.8955 Å, b = 2.8543 Å, c = 4.5990 Å
α = 90.00°, β = 95.65°, γ = 90.00°
Last column: nearest neighbours and their distance in Å.
Space group C2/m (No. 12)
Symmetry-distinct sites (fractional):
Al1 0.2183 0.0000 0.2336 x4  1 Cl 2.59, 6 Al 2.70-2.85, 2 Tc 2.72
Tc1 0.0000 0.5000 0.0000 x2  4 Cl 2.71, 4 Al 2.72, 2 Tc 2.85
Cl1 0.0000 0.0000 0.5000 x2  2 Al 2.59, 4 Tc 2.71, 2 Cl 2.85


A relaxed structure of CdGaIrRh. Source: the Alexandria database, functional GGA-PBE.

The total moment is 0.0 μB per cell. The formation energy comes out at -19.3 kJ/mol of atoms. The density of states at the Fermi level is 2.14 states/eV/f.u.

a = 6.2845 Å, b = 6.2845 Å, c = 6.2845 Å
α = 90.00°, β = 90.00°, γ = 90.00°
Last column: nearest neighbours and their distance in Å.
Space group F-43m (No. 216)
Symmetry-distinct sites (fractional):
Cd1 0.0000 0.0000 0.0000 x4  4 Rh 2.72, 4 Ir 2.72
Ga1 0.0000 0.0000 0.5000 x4  4 Ir 2.72, 4 Rh 2.72
Ir1 0.2500 0.2500 0.2500 x4  4 Cd 2.72, 4 Ga 2.72
Rh1 0.2500 0.2500 0.7500 x4  4 Cd 2.72, 4 Ga 2.72


A relaxed structure of CsIO2F. Source: the Alexandria database, functional GGA-PBE.

For the formation energy without anion corrections, the calculation gives 448 meV per atom. The total moment is 1.0 μB per cell. The density of states at the Fermi level is 7.51 states/eV/f.u.

a = 4.2526 Å, b = 4.2526 Å, c = 8.2306 Å
α = 90.00°, β = 90.00°, γ = 90.00°
Last column: nearest neighbours and their distance in Å.
Space group P4/mmm (No. 123)
Symmetry-distinct sites (fractional):
Cs1 0.0000 0.0000 0.0000 x1  4 O 2.13
I1 0.0000 0.0000 0.5000 x1  4 F 3.01
O1 0.0000 0.5000 0.0000 x2  2 Cs 2.13
F1 0.5000 0.5000 0.5000 x1  4 I 3.01


A relaxed structure of NdGd2Pt. Source: the Alexandria database, functional GGA-PBE.

The total moment is 14.6 μB per cell. The formation energy comes out at -55.1 kJ/mol of atoms. The density of states at the Fermi level is 5.53 states/eV/f.u.

a = 3.6083 Å, b = 3.6083 Å, c = 8.6447 Å
α = 90.00°, β = 90.00°, γ = 90.00°
Last column: nearest neighbours and their distance in Å.
Space group P4/mmm (No. 123)
Symmetry-distinct sites (fractional):
Nd1 0.0000 0.0000 0.0000 x1  4 Nd 3.61, 8 Gd 3.69
Gd1 0.5000 0.5000 0.3089 x2  4 Pt 3.04, 1 Gd 3.30
Pt1 0.0000 0.0000 0.5000 x1  8 Gd 3.04